(1)
Computed, not measured: a geometry-optimized MgP3Ru structure at the PBE-GGA level of DFT.

## Properties
The formation energy is 432 meV per atom. The calculation puts the total magnetization at 0.00 Bohr magnetons per cell.

a b c (Å): 4.626 4.626 4.626
angles (deg): 90.00 90.00 90.00
Fractional positions:
Ru: 0.000 0.000 0.000
Mg: 0.500 0.500 0.500
P: 0.000 0.500 0.000
P: 0.000 0.000 0.500
P: 0.500 0.000 0.000

***

(2)
Computed, not measured: a geometry-optimized Tb2YHoBi5 structure at the PBE-GGA level of DFT.

## Properties
The formation energy is -10 meV per atom. The calculation puts the total magnetization at 0.00 Bohr magnetons per cell.

a b c (Å): 5.401 5.401 11.863
angles (deg): 90.00 90.00 90.00
Fractional positions:
Tb: 0.500 0.500 0.269
Tb: 0.500 0.500 0.731
Y: 0.000 0.000 0.000
Ho: 0.000 0.000 0.500
Bi: 0.000 0.500 0.500
Bi: 0.500 0.000 0.500
Bi: 0.000 0.000 0.754
Bi: 0.000 0.000 0.246
Bi: 0.500 0.500 0.000

***

(3)
Computed, not measured: a geometry-optimized Pr3TlBi2 structure at the PBE-GGA level of DFT.

## Properties
The formation energy is -681 meV per atom. The calculation puts the total magnetization at 0.00 Bohr magnetons per cell.

a b c (Å): 6.522 9.121 8.097
angles (deg): 106.35 113.75 90.00
Fractional positions:
Pr: 0.500 0.250 0.000
Pr: 0.500 0.750 0.000
Pr: 0.173 0.086 0.345
Pr: 0.827 0.414 0.655
Pr: 0.173 0.586 0.345
Pr: 0.827 0.914 0.655
Tl: 0.000 0.750 0.000
Tl: 0.000 0.250 0.000
Bi: 0.666 0.583 0.331
Bi: 0.666 0.083 0.331
Bi: 0.334 0.917 0.669
Bi: 0.334 0.417 0.669